(1)
Here is Pr2SmTmSe5 after structural relaxation from Alexandria. Energies are from PBE.

Geometry as extended XYZ:
```
9
Lattice="-2.952 2.981 2.835 -1.752 -4.068 2.452 7.982 0.962 7.300" Properties=species:S:1:pos:R:3 pbc="T T T"
Pr 0.119 -0.246 4.904
Pr 3.158 0.120 7.683
Sm 0.000 0.000 0.000
Tm 3.991 0.481 3.650
Se 3.115 -1.553 4.876
Se 2.515 1.971 5.068
Se 5.990 0.722 5.478
Se 1.992 0.240 1.821
Se -2.352 -0.544 2.644
```

**Space group**: P4/mmm (123)
**Formation energy without anion corrections**: -12.042 eV/f.u.

=====

(2)
Here is YZrTcP2 after structural relaxation from Alexandria. Energies are from PBE.

Geometry as extended XYZ:
```
5
Lattice="-0.086 1.679 -4.285 -2.360 -4.385 -1.671 -4.112 1.898 0.826" Properties=species:S:1:pos:R:3 pbc="T T T"
Y -1.180 -2.193 -0.835
P -2.056 0.949 0.413
P -0.043 0.840 -2.143
Tc 0.000 0.000 0.000
Zr -3.279 -0.404 -2.565
```

**Space group**: P4/mmm (123)
**Energy of formation**: 0.350 eV/atom

=====

(3)
Here is CdPRu2 after structural relaxation from Alexandria. Energies are from PBE.

Geometry as extended XYZ:
```
4
Lattice="-0.390 2.848 -0.522 -0.152 -0.546 -2.866 -6.831 -0.840 0.523" Properties=species:S:1:pos:R:3 pbc="T T T"
Cd -0.271 1.151 -1.694
P -3.687 0.731 -1.433
Ru -4.740 -0.583 0.363
Ru -2.091 -0.257 0.160
```

**Space group**: P4/mmm (123)
**Energy of formation**: -0.127 eV/atom

=====

(4)
Here is NaNiPCl2 after structural relaxation from Alexandria. Energies are from PBE.

Geometry as extended XYZ:
```
5
Lattice="5.081 0.000 0.000 0.000 5.081 0.000 0.000 0.000 4.206" Properties=species:S:1:pos:R:3 pbc="T T T"
Ni 0.000 0.000 0.000
Na 2.540 2.540 2.103
P 0.000 0.000 2.103
Cl 0.000 2.540 0.000
Cl 2.540 0.000 0.000
```

**Space group**: P4/mmm (123)
**Formation energy without anion corrections**: -1.894 eV/f.u.

=====

(5)
Here is ZrTl2Ag after structural relaxation from Alexandria. Energies are from PBE.

Geometry as extended XYZ:
```
4
Lattice="3.284 0.000 0.000 0.000 4.449 0.000 0.000 0.000 6.420" Properties=species:S:1:pos:R:3 pbc="T T T"
Ag 1.642 2.224 4.763
Tl 0.000 0.000 6.302
Tl 1.642 2.224 1.787
Zr 0.000 0.000 3.199
```

**Space group**: Pmm2 (25)
**Energy of formation**: 0.125 eV/atom

=====

(6)
Here is SrPrCuNi after structural relaxation from Alexandria. Energies are from PBE.

Geometry as extended XYZ:
```
4
Lattice="5.109 0.000 0.000 2.555 4.425 0.000 2.555 1.475 4.172" Properties=species:S:1:pos:R:3 pbc="T T T"
Pr 0.000 0.000 0.000
Sr 5.109 2.950 2.086
Cu 2.555 1.475 1.043
Ni 7.664 4.425 3.129
```

**Space group**: F-43m (216)
**Energy of formation**: -0.008 eV/atom